# LaTb2Nd8 | Alexandria | PBE | optimized geometry
data_LaTb2Nd8
_space_group_name_H-M_alt 'C 1 2/m 1'
_space_group_IT_number 12
_space_group_name_Hall '-C 2y'
_cell_length_a 19.624
_cell_length_b 7.139
_cell_length_c 5.719
_cell_angle_alpha 90.00
_cell_angle_beta 93.45
_cell_angle_gamma 90.00
loop_
_atom_site_label
_atom_site_type_symbol
_atom_site_fract_x
_atom_site_fract_y
_atom_site_fract_z
_atom_site_occupancy
La1 La 0.000 0.000 0.000 1
Tb1 Tb 0.215 0.500 0.254 1
Nd1 Nd 0.045 0.500 0.239 1
Nd2 Nd 0.133 0.269 0.731 1
Nd3 Nd 0.188 0.000 0.232 1
# Magnetic moment, μB per cell: 0.0
# Crystal system: monoclinic
# Energy relative to the elements, eV/atom: 0.133

=====

# LaTb3Nd2 | Alexandria | PBE | optimized geometry
data_LaTb3Nd2
_space_group_name_H-M_alt 'C 1 2/m 1'
_space_group_IT_number 12
_space_group_name_Hall '-C 2y'
_cell_length_a 15.420
_cell_length_b 5.149
_cell_length_c 11.482
_cell_angle_alpha 90.00
_cell_angle_beta 116.61
_cell_angle_gamma 90.00
loop_
_atom_site_label
_atom_site_type_symbol
_atom_site_fract_x
_atom_site_fract_y
_atom_site_fract_z
_atom_site_occupancy
La1 La 0.126 0.000 0.129 1
Tb1 Tb 0.043 0.000 0.379 1
Tb2 Tb 0.123 0.500 0.620 1
Tb3 Tb 0.211 0.500 0.381 1
Nd1 Nd 0.041 0.500 0.871 1
Nd2 Nd 0.206 0.000 0.870 1
# Magnetic moment, μB per cell: 0.0
# Distance to the lowest polymorph of the same formula, eV/atom: 0.000
# Crystal system: monoclinic
# Energy relative to the elements, eV/atom: 0.020

=====

# La2TbNd | Alexandria | PBE | optimized geometry
data_La2TbNd
_space_group_name_H-M_alt 'R -3 m'
_space_group_IT_number 166
_space_group_name_Hall '-R 3 2"'
_cell_length_a 3.6939
_cell_length_b 3.6939
_cell_length_c 35.7621
_cell_angle_alpha 90.00
_cell_angle_beta 90.00
_cell_angle_gamma 120.00
loop_
_atom_site_label
_atom_site_type_symbol
_atom_site_fract_x
_atom_site_fract_y
_atom_site_fract_z
_atom_site_occupancy
La1 La 0.0000 0.0000 0.2487 1
Tb1 Tb 0.0000 0.0000 0.5000 1
Nd1 Nd 0.0000 0.0000 0.0000 1
# Magnetic moment, μB per cell: 0.0
# Distance to the lowest polymorph of the same formula, eV/atom: 0.000
# Crystal system: trigonal
# Energy relative to the elements, eV/atom: 0.011

=====

# LaTb4Nd3 | Alexandria | PBE | optimized geometry
data_LaTb4Nd3
_space_group_name_H-M_alt 'I m m m'
_space_group_IT_number 71
_space_group_name_Hall '-I 2 2'
_cell_length_a 3.478
_cell_length_b 11.760
_cell_length_c 13.308
_cell_angle_alpha 90.00
_cell_angle_beta 90.00
_cell_angle_gamma 90.00
loop_
_atom_site_label
_atom_site_type_symbol
_atom_site_fract_x
_atom_site_fract_y
_atom_site_fract_z
_atom_site_occupancy
La1 La 0.000 0.000 0.000 1
Tb1 Tb 0.000 0.251 0.135 1
Nd1 Nd 0.000 0.000 0.500 1
Nd2 Nd 0.000 0.500 0.259 1
# Magnetic moment, μB per cell: 0.0
# Distance to the lowest polymorph of the same formula, eV/atom: 0.096
# Crystal system: orthorhombic
# Energy relative to the elements, eV/atom: 0.128